NdGa6Cu12 | PBE | optimized geometry

Computed properties:
Total energy ... -3.86 eV/atom
Theoretical density ... 7691 kg/m³

Lattice parameters (Å, degrees): 10.7809 10.7809 8.5270 90.00 90.00 120.00
Space group R-3m (No. 166, hexagonal axes)
Symmetry-distinct sites (fractional):
Nd: 0.0000 0.0000 0.0000 x3
Ga: 0.0481 0.5241 0.2477 x18
Cu: 0.0000 0.3881 0.5000 x18
Cu: 0.0842 0.1684 0.3024 x18

---

NdGa12Cu6 | PBE | optimized geometry

Computed properties:
Total energy ... -3.55 eV/atom
Theoretical density ... 7013 kg/m³

Lattice parameters (Å, degrees): 11.2792 11.2792 8.7825 90.00 90.00 120.00
Space group R-3m (No. 166, hexagonal axes)
Symmetry-distinct sites (fractional):
Nd: 0.0000 0.0000 0.0000 x3
Ga: 0.0000 0.3878 0.5000 x18
Ga: 0.0843 0.1686 0.3147 x18
Cu: 0.0471 0.5236 0.2371 x18

---

NdGaCu2 | PBE | optimized geometry

Computed properties:
Total energy ... -4.13 eV/atom
Theoretical density ... 6837 kg/m³

Lattice parameters (Å, degrees): 5.068 8.430 3.878 90.00 90.00 90.00
Space group Cmmm (No. 65)
Symmetry-distinct sites (fractional):
Nd: 0.000 0.000 0.000 x2
Ga: 0.000 0.500 0.500 x2
Cu: 0.250 0.250 0.500 x4

---

Number 1: total magnetization 0.00 μB per formula unit. Number 2: total magnetization 0.00 μB per formula unit. Number 3: total magnetization 0.00 μB per formula unit.